# Ba2NbPbCl

Ba2NbPbCl after structural relaxation (PBE, the Alexandria database).

Cell: 6.1345 6.1345 5.3988 Å, 90.00 90.00 90.00°
Space group P4/mmm (No. 123)
Inequivalent atoms, fractional coordinates:
Ba  0.0000  0.5000  0.0000 x2
Nb  0.0000  0.0000  0.0000 x1
Pb  0.0000  0.0000  0.5000 x1
Cl  0.5000  0.5000  0.5000 x1

As for the uncorrected energy: -3.9796 eV per atom. As for the uncorrected formation energy: -86 meV/atom. The size of the total moment is 0.00 μB per formula unit.